The following is a PBE calculation of a geometry-optimized Tl2BiPd9 structure, from Alexandria via LeMat-Bulk.

Cell lengths 4.089, 4.089, 12.371 Å; angles 90.00, 90.00, 90.00 degrees
Fractional positions:
Tl 0.000 0.000 0.337
Tl 0.000 0.000 0.663
Bi 0.000 0.000 0.000
Pd 0.500 0.500 0.000
Pd 0.500 0.500 0.332
Pd 0.500 0.500 0.668
Pd 0.500 0.000 0.167
Pd 0.500 0.000 0.500
Pd 0.500 0.000 0.833
Pd 0.000 0.500 0.167
Pd 0.000 0.500 0.500
Pd 0.000 0.500 0.833

The energy relative to the elements is -0.2312 eV per atom.

The following is a PBE calculation of a geometry-optimized TlBiPd2 structure, from Alexandria via LeMat-Bulk.

Cell lengths 3.435, 3.435, 6.996 Å; angles 90.00, 90.00, 90.00 degrees
Fractional positions:
Tl 0.500 0.500 0.000
Bi 0.500 0.500 0.500
Pd 0.000 0.000 0.765
Pd 0.000 0.000 0.235

The energy relative to the elements is -0.1531 eV per atom.

The following is a PBE calculation of a geometry-optimized TlBi2Pd7 structure, from Alexandria via LeMat-Bulk.

Cell lengths 3.972, 8.317, 8.317 Å; angles 126.37, 90.00, 90.00 degrees
Fractional positions:
Tl 0.000 0.000 0.000
Bi 0.500 0.687 0.313
Bi 0.500 0.313 0.687
Pd 0.000 0.808 0.192
Pd 0.000 0.192 0.808
Pd 0.500 0.089 0.284
Pd 0.500 0.911 0.716
Pd 0.500 0.284 0.089
Pd 0.500 0.716 0.911
Pd 0.500 0.500 0.500

The value obtained for the excess energy over the best structure of this formula in the dataset is 245 meV per atom. The energy relative to the elements is 0.0479 eV per atom.

The following is a PBE calculation of a geometry-optimized TlBi2Pd structure, from Alexandria via LeMat-Bulk.

Cell lengths 4.322, 6.251, 8.630 Å; angles 90.00, 90.00, 110.82 degrees
Fractional positions:
Tl 0.934 0.868 0.250
Tl 0.066 0.132 0.750
Bi 0.357 0.707 0.548
Bi 0.643 0.293 0.452
Bi 0.357 0.707 0.952
Bi 0.643 0.293 0.048
Pd 0.769 0.532 0.750
Pd 0.231 0.468 0.250

The energy relative to the elements is -0.1624 eV per atom.

The following is a PBE calculation of a geometry-optimized TlBi3Pd6 structure, from Alexandria via LeMat-Bulk.

Cell lengths 5.866, 8.481, 8.481 Å; angles 99.97, 90.00, 90.00 degrees
Fractional positions:
Tl 0.982 0.195 0.805
Tl 0.482 0.805 0.195
Bi 0.514 0.866 0.722
Bi 0.014 0.722 0.866
Bi 0.246 0.410 0.590
Bi 0.746 0.590 0.410
Bi 0.014 0.134 0.278
Bi 0.514 0.278 0.134
Pd 0.157 0.730 0.531
Pd 0.657 0.531 0.730
Pd 0.332 0.518 0.972
Pd 0.832 0.972 0.518
Pd 0.249 0.009 0.991
Pd 0.501 0.213 0.787
Pd 0.001 0.787 0.213
Pd 0.749 0.991 0.009
Pd 0.332 0.028 0.482
Pd 0.832 0.482 0.028
Pd 0.157 0.469 0.270
Pd 0.657 0.270 0.469

The energy relative to the elements is -0.1639 eV per atom.

The following is a PBE calculation of a geometry-optimized TlBi2Pd7 structure, from Alexandria via LeMat-Bulk.

Cell lengths 4.062, 4.062, 12.202 Å; angles 99.58, 99.58, 90.00 degrees
Fractional positions:
Tl 0.000 0.000 0.000
Bi 0.667 0.667 0.334
Bi 0.333 0.333 0.666
Pd 0.087 0.587 0.174
Pd 0.413 0.913 0.826
Pd 0.587 0.087 0.174
Pd 0.500 0.500 0.000
Pd 0.750 0.250 0.500
Pd 0.913 0.413 0.826
Pd 0.250 0.750 0.500

The value obtained for the excess energy over the best structure of this formula in the dataset is 0 meV per atom. The energy relative to the elements is -0.1971 eV per atom.

The following is a PBE calculation of a geometry-optimized Tl3BiPd structure, from Alexandria via LeMat-Bulk.

Cell lengths 5.232, 11.308, 9.206 Å; angles 90.00, 90.00, 90.00 degrees
Fractional positions:
Tl 0.250 0.100 0.458
Tl 0.750 0.400 0.958
Tl 0.750 0.900 0.542
Tl 0.250 0.600 0.042
Tl 0.250 0.412 0.371
Tl 0.750 0.088 0.871
Tl 0.750 0.588 0.629
Tl 0.250 0.912 0.129
Tl 0.250 0.423 0.735
Tl 0.750 0.077 0.235
Tl 0.750 0.577 0.265
Tl 0.250 0.923 0.765
Bi 0.250 0.235 0.076
Bi 0.750 0.265 0.576
Bi 0.750 0.765 0.924
Bi 0.250 0.735 0.424
Pd 0.250 0.179 0.759
Pd 0.750 0.321 0.259
Pd 0.750 0.821 0.241
Pd 0.250 0.679 0.741

The value obtained for the excess energy over the best structure of this formula in the dataset is 0 meV per atom. The energy relative to the elements is -0.0596 eV per atom.

The following is a PBE calculation of a geometry-optimized TlBiPd2 structure, from Alexandria via LeMat-Bulk.

Cell lengths 4.186, 7.519, 5.755 Å; angles 90.00, 90.00, 90.00 degrees
Fractional positions:
Tl 0.500 0.576 0.500
Tl 0.000 0.424 0.000
Bi 0.500 0.922 0.000
Bi 0.000 0.078 0.500
Pd 0.000 0.752 0.750
Pd 0.500 0.248 0.750
Pd 0.000 0.752 0.250
Pd 0.500 0.248 0.250

The energy relative to the elements is -0.2342 eV per atom.

The following is a PBE calculation of a geometry-optimized TlBiPd2 structure, from Alexandria via LeMat-Bulk.

Cell lengths 3.526, 3.526, 8.374 Å; angles 77.85, 77.85, 60.00 degrees
Fractional positions:
Tl 0.500 0.500 0.501
Bi 0.667 0.667 0.998
Pd 0.085 0.085 0.744
Pd 0.248 0.248 0.257

The energy relative to the elements is -0.1130 eV per atom.

The following is a PBE calculation of a geometry-optimized TlBi5Pd4 structure, from Alexandria via LeMat-Bulk.

Cell lengths 3.468, 8.813, 8.557 Å; angles 89.62, 101.69, 90.00 degrees
Fractional positions:
Tl 0.500 0.000 0.000
Bi 0.823 0.617 0.645
Bi 0.825 0.128 0.650
Bi 0.175 0.872 0.350
Bi 0.500 0.500 0.000
Bi 0.177 0.383 0.355
Pd 0.345 0.872 0.690
Pd 0.976 0.753 0.951
Pd 0.655 0.128 0.310
Pd 0.024 0.247 0.049

The energy relative to the elements is -0.1127 eV per atom.

The following is a PBE calculation of a geometry-optimized TlBi2Pd structure, from Alexandria via LeMat-Bulk.

Cell lengths 4.413, 4.413, 7.580 Å; angles 73.08, 73.08, 60.00 degrees
Fractional positions:
Tl 0.503 0.503 0.490
Bi 0.056 0.056 0.833
Bi 0.276 0.276 0.172
Pd 0.665 0.665 0.005

The energy relative to the elements is -0.1368 eV per atom.

The following is a PBE calculation of a geometry-optimized Tl3BiPd6 structure, from Alexandria via LeMat-Bulk.

Cell lengths 4.186, 9.162, 10.456 Å; angles 102.73, 90.00, 90.00 degrees
Fractional positions:
Tl 0.250 0.540 0.395
Tl 0.750 0.460 0.605
Tl 0.250 0.421 0.864
Tl 0.750 0.579 0.136
Tl 0.250 0.834 0.953
Tl 0.750 0.166 0.047
Bi 0.250 0.972 0.620
Bi 0.750 0.028 0.380
Pd 0.250 0.371 0.139
Pd 0.750 0.629 0.861
Pd 0.250 0.093 0.214
Pd 0.750 0.907 0.786
Pd 0.250 0.679 0.674
Pd 0.750 0.321 0.326
Pd 0.250 0.245 0.507
Pd 0.750 0.755 0.493
Pd 0.250 0.792 0.289
Pd 0.750 0.208 0.711
Pd 0.250 0.126 0.877
Pd 0.750 0.874 0.123

The energy relative to the elements is -0.1715 eV per atom.